*a*
Below is an optimized crystal structure of Y3Se4, with properties calculated at the PBE level.

Structure (extended XYZ):
```
7
Lattice="-1.9698 1.9698 11.8953 1.9698 -1.9698 11.8953 1.9698 1.9698 -11.8953" Properties=species:S:1:pos:R:3 pbc="T T T"
Y 0.0000 0.0000 0.0000
Y 0.0000 0.0000 7.4965
Y 0.0000 0.0000 16.2940
Se 0.0000 0.0000 4.4933
Se 0.0000 0.0000 10.3355
Se 0.0000 0.0000 13.4550
Se 0.0000 0.0000 19.2972
```

total moment: 0.0 Bohr magnetons per cell
crystal system: tetragonal

*b*
Below is an optimized crystal structure of Y3Se4, with properties calculated at the PBE level.

Structure (extended XYZ):
```
7
Lattice="7.5547 -2.0506 0.0000 7.5547 2.0506 0.0000 -3.2108 0.0000 6.3930" Properties=species:S:1:pos:R:3 pbc="T T T"
Y 0.0000 0.0000 0.0000
Y 3.1323 0.0000 1.7674
Y 8.7662 0.0000 4.6256
Se 0.4313 0.0000 2.8319
Se 5.4817 0.0000 0.0636
Se 6.4168 0.0000 6.3294
Se 11.4672 0.0000 3.5612
```

total moment: 0.0 Bohr magnetons per cell
crystal system: monoclinic

Which structure is most stable? *b*, by 128 meV/atom over the runner-up.

*a*
Below is an optimized crystal structure of Y3Se4, with properties calculated at the PBE level.

Structure (extended XYZ):
```
28
Lattice="7.0216 -4.0954 0.0000 7.0216 4.0954 0.0000 -4.5741 0.0000 13.2129" Properties=species:S:1:pos:R:3 pbc="T T T"
Y 0.0000 0.0000 0.0000
Y -2.2871 0.0000 6.6065
Y 3.5108 2.0477 0.0000
Y 1.2238 2.0477 6.6065
Y 3.5699 1.9788 9.8598
Y 2.4429 0.0000 3.3566
Y 5.8993 1.9788 3.3531
Y 3.5108 -2.0477 0.0000
Y 1.2238 -2.0477 6.6065
Y 3.5699 -1.9788 9.8598
Y 7.0262 0.0000 9.8563
Y 5.8993 -1.9788 3.3531
Se 1.2378 2.1007 11.5493
Se 3.5660 2.0679 4.9504
Se 0.0487 0.0000 4.9468
Se -2.2357 0.0000 11.5249
Se 8.2313 2.1007 1.6636
Se 2.3628 0.0000 8.2586
Se 5.9032 2.0679 8.2625
Se 4.7594 0.0000 1.6088
Se 4.7097 0.0000 11.6042
Se 3.5660 -2.0679 4.9504
Se 7.1063 0.0000 4.9543
Se 1.2378 -2.1007 11.5493
Se 11.7048 0.0000 1.6880
Se 9.4204 0.0000 8.2661
Se 5.9032 -2.0679 8.2625
Se 8.2313 -2.1007 1.6636
```

total moment: 0.0 Bohr magnetons per cell
crystal system: monoclinic

*b*
Below is an optimized crystal structure of Y3Se4, with properties calculated at the PBE level.

Structure (extended XYZ):
```
7
Lattice="-2.8787 2.8787 5.6987 2.8787 -2.8787 5.6987 2.8787 2.8787 -5.6987" Properties=species:S:1:pos:R:3 pbc="T T T"
Y 0.0000 0.0000 0.0000
Y 2.8787 0.0000 2.8494
Y 0.0000 2.8787 2.8494
Se 2.8787 0.0000 0.0000
Se 0.0000 0.0000 2.8807
Se 0.0000 2.8787 0.0000
Se 0.0000 0.0000 8.5168
```

total moment: 0.0 Bohr magnetons per cell
crystal system: tetragonal

Which structure is most stable? *a*, by 5 meV/atom over the runner-up.

*a*
Below is an optimized crystal structure of Y3Se2, with properties calculated at the PBE level.

Structure (extended XYZ):
```
10
Lattice="0.0000 6.8221 3.1964 6.1543 0.0000 3.1964 6.1543 6.8221 0.0000" Properties=species:S:1:pos:R:3 pbc="T T T"
Y 0.0000 0.0000 0.0000
Y 3.0771 3.4111 1.5982
Y 7.9343 7.3839 3.2186
Y 11.0114 9.6714 4.8168
Y 4.3743 6.2603 3.2186
Y 7.4514 10.7950 4.8168
Se 9.8703 5.3344 2.7340
Se 6.7932 4.8988 4.3322
Se 2.4382 8.3098 2.7340
Se 5.5153 8.7455 4.3322
```

total moment: 0.0 Bohr magnetons per cell
crystal system: orthorhombic

*b*
Below is an optimized crystal structure of Y3Se2, with properties calculated at the PBE level.

Structure (extended XYZ):
```
10
Lattice="3.4678 2.0021 6.6004 -3.4678 2.0021 6.6004 0.0000 -4.0042 6.6004" Properties=species:S:1:pos:R:3 pbc="T T T"
Y -2.3196 -0.0134 8.2505
Y -1.1482 -2.0155 11.5506
Y 1.1713 -2.0021 8.2505
Y -1.1713 2.0021 11.5506
Y 1.1482 2.0155 8.2505
Y 2.3196 0.0134 11.5506
Se 0.0000 0.0000 3.2281
Se 0.0000 0.0000 6.6725
Se 0.0000 0.0000 13.1286
Se 0.0000 0.0000 16.5730
```

total moment: 0.0 Bohr magnetons per cell
crystal system: trigonal

*c*
Below is an optimized crystal structure of Y3Se2, with properties calculated at the PBE level.

Structure (extended XYZ):
```
5
Lattice="1.9691 1.1369 9.9353 -1.9691 1.1369 9.9353 0.0000 -2.2737 9.9353" Properties=species:S:1:pos:R:3 pbc="T T T"
Y 0.0000 0.0000 0.0000
Y 0.0000 0.0000 6.3606
Y 0.0000 0.0000 23.4455
Se 0.0000 0.0000 11.6825
Se 0.0000 0.0000 18.1236
```

total moment: 0.5 Bohr magnetons per cell
crystal system: trigonal

*d*
Below is an optimized crystal structure of Y3Se2, with properties calculated at the PBE level.

Structure (extended XYZ):
```
5
Lattice="3.9113 0.0000 0.0000 -1.9557 3.3873 0.0000 0.0000 0.0000 10.0433" Properties=species:S:1:pos:R:3 pbc="T T T"
Y 0.0000 0.0000 0.0000
Y 0.0000 2.2582 3.6116
Y 1.9557 1.1291 6.4317
Se 0.0000 2.2582 8.2859
Se 1.9557 1.1291 1.7574
```

total moment: 0.0 Bohr magnetons per cell
crystal system: trigonal

Which structure is most stable? *c*, by 28 meV/atom over the runner-up.

*a*
Below is an optimized crystal structure of Y4Se, with properties calculated at the PBE level.

Structure (extended XYZ):
```
5
Lattice="5.4589 0.0000 0.0000 0.0000 5.4589 0.0000 0.0000 0.0000 5.4589" Properties=species:S:1:pos:R:3 pbc="T T T"
Y 0.0000 0.0000 0.0000
Y 0.0000 2.7295 2.7295
Y 2.7295 0.0000 2.7295
Y 2.7295 2.7295 0.0000
Se 2.7295 2.7295 2.7295
```

total moment: 1.3 Bohr magnetons per cell
crystal system: cubic

*b*
Below is an optimized crystal structure of Y4Se, with properties calculated at the PBE level.

Structure (extended XYZ):
```
5
Lattice="-4.4877 4.4877 1.7990 4.4877 -4.4877 1.7990 4.4877 4.4877 -1.7990" Properties=species:S:1:pos:R:3 pbc="T T T"
Y 6.5541 0.6467 0.0000
Y 0.6467 2.4213 0.0000
Y 3.8410 2.0664 1.7990
Y -2.0664 3.8410 1.7990
Se 0.0000 0.0000 1.7990
```

total moment: 0.0 Bohr magnetons per cell
crystal system: tetragonal

Which structure is most stable? *b*, by 58 meV/atom over the runner-up.

*a*
Below is an optimized crystal structure of Y2ZnSe, with properties calculated at the PBE level.

Structure (extended XYZ):
```
8
Lattice="2.0117 -11.4002 0.0000 2.0117 11.4002 0.0000 0.0000 0.0000 4.2045" Properties=species:S:1:pos:R:3 pbc="T T T"
Y 2.0117 9.8396 3.1533
Y 2.0117 4.0977 3.1533
Y 2.0117 -4.0977 1.0511
Y 2.0117 -9.8396 1.0511
Zn 2.0117 0.8850 3.1533
Zn 2.0117 -0.8850 1.0511
Se 2.0117 6.9845 3.1533
Se 2.0117 -6.9845 1.0511
```

total moment: 0.0 Bohr magnetons per cell
crystal system: orthorhombic

*b*
Below is an optimized crystal structure of Y2ZnSe, with properties calculated at the PBE level.

Structure (extended XYZ):
```
4
Lattice="4.4147 0.0000 0.0000 0.0000 1.9207 5.5892 0.0000 -1.9207 5.5892" Properties=species:S:1:pos:R:3 pbc="T T T"
Y 0.0000 0.0000 0.0000
Y 2.2073 0.0000 3.0054
Zn 0.0000 0.0000 8.3146
Se 2.2073 0.0000 6.0141
```

total moment: 0.0 Bohr magnetons per cell
crystal system: orthorhombic

Which structure is most stable? *a*, by 165 meV/atom over the runner-up.

*a*
Below is an optimized crystal structure of Y2ZrSe2, with properties calculated at the PBE level.

Structure (extended XYZ):
```
10
Lattice="8.2631 0.0000 0.0000 0.0000 8.2631 0.0000 0.0000 0.0000 3.5361" Properties=species:S:1:pos:R:3 pbc="T T T"
Y 1.2553 2.8762 0.0000
Y 2.8762 7.0078 0.0000
Y 5.3869 1.2553 0.0000
Y 7.0078 5.3869 0.0000
Zr 0.0000 0.0000 0.0000
Zr 4.1316 4.1316 0.0000
Se 1.2423 5.3738 1.7680
Se 2.8893 1.2423 1.7680
Se 5.3738 7.0208 1.7680
Se 7.0208 2.8893 1.7680
```

total moment: 0.0 Bohr magnetons per cell
crystal system: tetragonal

*b*
Below is an optimized crystal structure of Y2ZrSe2, with properties calculated at the PBE level.

Structure (extended XYZ):
```
5
Lattice="-2.6334 2.6334 4.9368 2.6334 -2.6334 4.9368 2.6334 2.6334 -4.9368" Properties=species:S:1:pos:R:3 pbc="T T T"
Y 0.0000 0.0000 1.5881
Y 0.0000 0.0000 8.2855
Zr 0.0000 0.0000 4.9368
Se 2.6334 0.0000 2.4684
Se 0.0000 2.6334 2.4684
```

total moment: 0.0 Bohr magnetons per cell
crystal system: tetragonal

Which structure is most stable? *a*, by 115 meV/atom over the runner-up.